Ce3MgRh2 after structural relaxation. Source: Alexandria via LeMat-Bulk, functional PBE.

The structure belongs to space group Ibam (No. 72); the cell edges are 6.5193, 13.4307 and 7.1174 Å and the angles 90.00°, 90.00° and 90.00°. The distinct sites, in fractional coordinates, are Ce at (0.0000, 0.0000, 0.2500), Ce at (0.0000, 0.2804, 0.2500), Mg at (0.0000, 0.5000, 0.0000) and Rh at (0.2045, 0.1368, 0.0000).

Its crystal system is orthorhombic.

---

CeMg2Rh3 after structural relaxation. Source: Alexandria via LeMat-Bulk, functional PBE.

The structure belongs to space group P-3m1 (No. 164); the cell edges are 4.6235, 4.6235 and 11.1803 Å and the angles 90.00°, 90.00° and 120.00°. The distinct sites, in fractional coordinates, are Ce at (0.3333, 0.6667, 0.1767), Mg at (0.0000, 0.0000, 0.0000), Mg at (0.0000, 0.0000, 0.5000), Mg at (0.3333, 0.6667, 0.6508), Rh at (0.0000, 0.0000, 0.2581), Rh at (0.3333, 0.6667, 0.4124) and Rh at (0.3333, 0.6667, 0.9193).

Its crystal system is trigonal.

---

Ce2MgRh3 after structural relaxation. Source: Alexandria via LeMat-Bulk, functional PBE.

The structure belongs to space group C2/c (No. 15); the cell edges are 11.5054, 5.4534 and 8.1697 Å and the angles 90.00°, 111.66° and 90.00°. The distinct sites, in fractional coordinates, are Ce at (0.1756, 0.0129, 0.0870), Mg at (0.0000, 0.3310, 0.2500), Rh at (0.0000, 0.1652, 0.7500) and Rh at (0.1338, 0.4917, 0.5703).

Its crystal system is monoclinic.

---

no.,ΔE_f (eV/f.u.)
1,-2.5
2,-3.9
3,-3.7